16
Lattice="6.3287 0.0000 0.0000 0.0000 6.3287 0.0000 0.0000 0.0000 8.0019" Properties=species:S:1:pos:R:3 comment="RbAc2CoO4 (GGA+U, optimized geometry)" final_energy_ev_per_atom=-6.337 mass_density_g_cm3=6.9 pbc="T T T"
Rb 0.0000 0.0000 0.0000
Rb 3.1644 3.1644 4.0010
Ac 0.0000 3.1644 2.0005
Ac 0.0000 3.1644 6.0014
Ac 3.1644 0.0000 2.0005
Ac 3.1644 0.0000 6.0014
Co 0.0000 0.0000 4.0010
Co 3.1644 3.1644 0.0000
O 1.1671 1.1671 2.8031
O 1.1671 5.1616 5.1988
O 1.9972 1.9972 6.8041
O 1.9972 4.3315 1.1979
O 4.3315 1.9972 1.1979
O 4.3315 4.3315 6.8041
O 5.1616 1.1671 5.1988
O 5.1616 5.1616 2.8031